This record from the Alexandria database describes a geometry-optimized KBaTi2Ge structure. The functional is PBE.

Computed properties:
For the energy relative to the elements, the calculation gives 1.75 eV per atom. The calculation puts the density at 3.89 g/cm3. As for the crystal system: tetragonal. The calculation puts the total magnetization at 3.86 μB/f.u.

Unit cell a=5.0445 b=5.7913 c=5.0445 alpha=90.00 beta=90.00 gamma=90.00
With the nearest neighbours (Å) after each atom.
Fractional positions:
Ge (0.5000, 0.5000, 0.5000)  4 Ba 3.57, 8 Ti 3.84
Ti (0.0000, 0.0000, 0.5000)  2 K 2.52
Ti (0.5000, 0.0000, 0.0000)  2 K 2.52
Ba (0.0000, 0.5000, 0.0000)  2 K 2.90
K (0.0000, 0.0000, 0.0000)  4 Ti 2.52


This record from the Alexandria database describes a geometry-optimized BaLa2Ge structure. The functional is PBE.

Computed properties:
For the energy relative to the elements, the calculation gives -0.32 eV per atom. The calculation puts the density at 4.72 g/cm3. As for the crystal system: trigonal. The calculation puts the total magnetization at 1.41 μB/f.u.

Unit cell a=4.3704 b=4.3704 c=10.6788 alpha=78.18 beta=78.18 gamma=60.01
With the nearest neighbours (Å) after each atom.
Fractional positions:
La (0.0532, 0.0532, 0.8405)  3 Ge 3.04
La (0.2802, 0.2802, 0.1591)  3 Ge 3.00
Ge (0.6656, 0.6656, 0.0030)  6 La 3.00-3.04
Ba (0.5010, 0.5010, 0.4974)  6 La 4.32-4.36, 6 Ba 4.37


This record from the Alexandria database describes a geometry-optimized BaLaGe structure. The functional is PBE.

Computed properties:
For the energy relative to the elements, the calculation gives -0.38 eV per atom. The calculation puts the density at 5.19 g/cm3. As for the crystal system: cubic. The calculation puts the total magnetization at 0.35 μB/f.u. The calculation puts the polymorph energy (0 for the lowest one) at 0.144 eV/atom.

Unit cell a=5.4051 b=5.4051 c=5.4051 alpha=60.00 beta=60.00 gamma=60.00
With the nearest neighbours (Å) after each atom.
Fractional positions:
Ba (0.0000, 0.0000, 0.0000)  4 Ge 3.31
Ge (0.2500, 0.2500, 0.2500)  4 La 3.31, 4 Ba 3.31
La (0.5000, 0.5000, 0.5000)  4 Ge 3.31


This record from the Alexandria database describes a geometry-optimized BaLaGe structure. The functional is PBE.

Computed properties:
For the energy relative to the elements, the calculation gives -0.44 eV per atom. The calculation puts the density at 4.82 g/cm3. As for the crystal system: monoclinic. The calculation puts the total magnetization at 0.62 μB/f.u. The calculation puts the polymorph energy (0 for the lowest one) at 0.088 eV/atom.

Unit cell a=4.4262 b=5.9344 c=10.1049 alpha=83.73 beta=77.33 gamma=68.09
With the nearest neighbours (Å) after each atom.
Fractional positions:
Ge (0.1937, 0.5176, 0.9728)  1 Ge 2.60
Ge (0.9423, 0.8237, 0.1690)  1 Ge 2.60
La (0.6528, 0.3874, 0.1843)  5 Ge 3.11-3.27
La (0.4832, 0.9539, 0.9575)  5 Ge 3.11-3.27
Ba (0.8604, 0.4370, 0.7200)  2 Ge 3.37, 1 La 3.74
Ba (0.2751, 0.9048, 0.4216)  2 Ge 3.37, 1 La 3.74


This record from the Alexandria database describes a geometry-optimized BaLaGe structure. The functional is PBE.

Computed properties:
For the energy relative to the elements, the calculation gives -0.49 eV per atom. The calculation puts the density at 4.74 g/cm3. As for the crystal system: tetragonal. The calculation puts the total magnetization at 0.00 μB/f.u. The calculation puts the polymorph energy (0 for the lowest one) at 0.031 eV/atom.

Unit cell a=4.3872 b=4.3872 c=25.3944 alpha=90.00 beta=90.00 gamma=90.00
With the nearest neighbours (Å) after each atom.
Fractional positions:
La (0.5000, 0.0000, 0.9504)  5 Ge 3.12-3.16
La (0.5000, 0.0000, 0.5496)  5 Ge 3.12-3.16
La (0.0000, 0.5000, 0.4504)  5 Ge 3.12-3.16
La (0.0000, 0.5000, 0.0496)  5 Ge 3.12-3.16
Ge (0.5000, 0.0000, 0.0733)  5 La 3.12-3.16, 2 Ba 3.42
Ge (0.5000, 0.0000, 0.4267)  5 La 3.12-3.16, 2 Ba 3.42
Ge (0.0000, 0.5000, 0.5733)  5 La 3.12-3.16, 2 Ba 3.42
Ge (0.0000, 0.5000, 0.9267)  5 La 3.12-3.16, 2 Ba 3.42
Ba (0.0000, 0.0000, 0.3236)  2 Ge 3.42
Ba (0.0000, 0.0000, 0.6764)  2 Ge 3.42
Ba (0.5000, 0.5000, 0.1764)  2 Ge 3.42
Ba (0.5000, 0.5000, 0.8236)  2 Ge 3.42


This record from the Alexandria database describes a geometry-optimized BaLa2Ge2 structure. The functional is PBE.

Computed properties:
For the energy relative to the elements, the calculation gives -0.44 eV per atom. The calculation puts the density at 4.93 g/cm3. As for the crystal system: tetragonal. The calculation puts the total magnetization at 0.90 μB/f.u. The calculation puts the polymorph energy (0 for the lowest one) at 0.143 eV/atom.

Unit cell a=5.6565 b=5.6565 c=7.1290 alpha=66.63 beta=66.63 gamma=90.00
With the nearest neighbours (Å) after each atom.
Fractional positions:
Ba (0.0000, 0.0000, 0.0000)  2 La 3.87, 8 Ge 4.09
Ge (0.7500, 0.2500, 0.5000)  4 La 2.98
Ge (0.2500, 0.7500, 0.5000)  4 La 2.98
La (0.6718, 0.6718, 0.6564)  4 Ge 2.98
La (0.3282, 0.3282, 0.3436)  4 Ge 2.98


Which formula does entry 2 have? BaLa2Ge